(1)
# CuP2RuS, relaxed, DFT PBEsol
data_CuP2RuS
_symmetry_space_group_name_H-M 'P 1'
_symmetry_Int_Tables_number 1
_symmetry_space_group_name_Hall 'P 1'
_cell_length_a 4.283
_cell_length_b 4.283
_cell_length_c 4.370
_cell_angle_alpha 90.00
_cell_angle_beta 90.00
_cell_angle_gamma 90.00
loop_
_atom_site_label
_atom_site_type_symbol
_atom_site_fract_x
_atom_site_fract_y
_atom_site_fract_z
P1 P 0.500 0.000 0.000
P2 P 0.000 0.500 0.000
Cu1 Cu 0.000 0.000 0.000
Ru1 Ru 0.500 0.500 0.500
S1 S 0.000 0.000 0.500
# Formation energy (no corrections) = 1125 meV per atom
# Space group = P4/mmm (123)
# Calculated volume = 80.17 Å³ per cell
# Spin magnetization = 0.000 μB/atom

---

(2)
# SbCSe2, relaxed, DFT PBEsol
data_SbCSe2
_symmetry_space_group_name_H-M 'P 1'
_symmetry_Int_Tables_number 1
_symmetry_space_group_name_Hall 'P 1'
_cell_length_a 3.670
_cell_length_b 3.670
_cell_length_c 8.247
_cell_angle_alpha 77.15
_cell_angle_beta 77.15
_cell_angle_gamma 60.00
loop_
_atom_site_label
_atom_site_type_symbol
_atom_site_fract_x
_atom_site_fract_y
_atom_site_fract_z
Sb1 Sb 0.500 0.500 0.500
C1 C 0.000 0.000 0.000
Se1 Se 0.073 0.073 0.782
Se2 Se 0.927 0.927 0.218
# Formation energy (no corrections) = 888 meV per atom
# Space group = R-3m (166)
# Calculated volume = 92.95 Å³ per cell
# Spin magnetization = 0.000 μB/atom

---

(3)
# YFeBr2, relaxed, DFT PBEsol
data_YFeBr2
_symmetry_space_group_name_H-M 'P 1'
_symmetry_Int_Tables_number 1
_symmetry_space_group_name_Hall 'P 1'
_cell_length_a 3.626
_cell_length_b 4.379
_cell_length_c 6.796
_cell_angle_alpha 108.79
_cell_angle_beta 105.47
_cell_angle_gamma 90.00
loop_
_atom_site_label
_atom_site_type_symbol
_atom_site_fract_x
_atom_site_fract_y
_atom_site_fract_z
Br1 Br 0.147 0.147 0.294
Br2 Br 0.853 0.853 0.706
Y1 Y 0.000 0.500 0.000
Fe1 Fe 0.500 0.000 0.000
# Formation energy (no corrections) = -524 meV per atom
# Space group = Immm (71)
# Calculated volume = 98.00 Å³ per cell
# Spin magnetization = 0.377 μB/atom

---

(4)
# MnSbO3, relaxed, DFT PBEsol
data_MnSbO3
_symmetry_space_group_name_H-M 'P 1'
_symmetry_Int_Tables_number 1
_symmetry_space_group_name_Hall 'P 1'
_cell_length_a 4.030
_cell_length_b 4.030
_cell_length_c 4.030
_cell_angle_alpha 90.00
_cell_angle_beta 90.00
_cell_angle_gamma 90.00
loop_
_atom_site_label
_atom_site_type_symbol
_atom_site_fract_x
_atom_site_fract_y
_atom_site_fract_z
Sb1 Sb 0.000 0.000 0.000
O1 O 0.000 0.500 0.000
O2 O 0.500 0.000 0.000
O3 O 0.000 0.000 0.500
Mn1 Mn 0.500 0.500 0.500
# Formation energy (no corrections) = -730 meV per atom
# Space group = Pm-3m (221)
# Calculated volume = 65.47 Å³ per cell
# Spin magnetization = 0.985 μB/atom

---

(5)
# LaMnNbPd2, relaxed, DFT PBEsol
data_LaMnNbPd2
_symmetry_space_group_name_H-M 'P 1'
_symmetry_Int_Tables_number 1
_symmetry_space_group_name_Hall 'P 1'
_cell_length_a 4.957
_cell_length_b 4.957
_cell_length_c 5.082
_cell_angle_alpha 90.00
_cell_angle_beta 90.00
_cell_angle_gamma 90.00
loop_
_atom_site_label
_atom_site_type_symbol
_atom_site_fract_x
_atom_site_fract_y
_atom_site_fract_z
La1 La 0.000 0.000 0.000
Nb1 Nb 0.000 0.000 0.500
Pd1 Pd 0.000 0.500 0.000
Pd2 Pd 0.500 0.000 0.000
Mn1 Mn 0.500 0.500 0.500
# DFT formation energy = 1.5454 eV/atom
# Space group = P4/mmm (123)
# Calculated volume = 124.86 Å³ per cell
# Spin magnetization = 0.611 μB/atom

---

(6)
# TiAgAs2Br, relaxed, DFT PBEsol
data_TiAgAs2Br
_symmetry_space_group_name_H-M 'P 1'
_symmetry_Int_Tables_number 1
_symmetry_space_group_name_Hall 'P 1'
_cell_length_a 4.866
_cell_length_b 4.866
_cell_length_c 5.133
_cell_angle_alpha 90.00
_cell_angle_beta 90.00
_cell_angle_gamma 90.00
loop_
_atom_site_label
_atom_site_type_symbol
_atom_site_fract_x
_atom_site_fract_y
_atom_site_fract_z
Ti1 Ti 0.500 0.500 0.500
As1 As 0.000 0.500 0.000
As2 As 0.500 0.000 0.000
Ag1 Ag 0.000 0.000 0.000
Br1 Br 0.000 0.000 0.500
# Formation energy (no corrections) = 816 meV per atom
# Space group = P4/mmm (123)
# Calculated volume = 121.55 Å³ per cell
# Spin magnetization = 0.255 μB/atom

---

(7)
# Zr2TcPt, relaxed, DFT PBEsol
data_Zr2TcPt
_symmetry_space_group_name_H-M 'P 1'
_symmetry_Int_Tables_number 1
_symmetry_space_group_name_Hall 'P 1'
_cell_length_a 3.360
_cell_length_b 4.564
_cell_length_c 4.564
_cell_angle_alpha 90.00
_cell_angle_beta 90.00
_cell_angle_gamma 90.00
loop_
_atom_site_label
_atom_site_type_symbol
_atom_site_fract_x
_atom_site_fract_y
_atom_site_fract_z
Zr1 Zr 0.500 0.000 0.500
Zr2 Zr 0.500 0.500 0.000
Pt1 Pt 0.000 0.500 0.500
Tc1 Tc 0.000 0.000 0.000
# DFT formation energy = -0.7033 eV/atom
# Space group = P4/mmm (123)
# Calculated volume = 69.97 Å³ per cell
# Spin magnetization = 0.000 μB/atom

---

(8)
# VOF2, relaxed, DFT PBEsol
data_VOF2
_symmetry_space_group_name_H-M 'P 1'
_symmetry_Int_Tables_number 1
_symmetry_space_group_name_Hall 'P 1'
_cell_length_a 5.120
_cell_length_b 5.339
_cell_length_c 7.354
_cell_angle_alpha 91.03
_cell_angle_beta 90.00
_cell_angle_gamma 90.00
loop_
_atom_site_label
_atom_site_type_symbol
_atom_site_fract_x
_atom_site_fract_y
_atom_site_fract_z
O1 O 0.223 0.772 0.792
O2 O 0.754 0.760 0.294
O3 O 0.754 0.240 0.706
O4 O 0.223 0.228 0.208
F1 F 0.097 0.500 0.500
F2 F 0.720 0.267 0.307
F3 F 0.720 0.733 0.693
F4 F 0.596 0.000 0.000
F5 F 0.255 0.268 0.810
F6 F 0.255 0.732 0.190
F7 F 0.391 0.000 0.500
F8 F 0.890 0.500 0.000
V1 V 0.528 0.035 0.745
V2 V 0.023 0.461 0.244
V3 V 0.528 0.965 0.255
V4 V 0.023 0.539 0.756
# Formation energy (no corrections) = -2646 meV per atom
# Space group = P2 (3)
# Calculated volume = 200.98 Å³ per cell
# Spin magnetization = 0.250 μB/atom